# 1
Entry from Alexandria via LeMat-Bulk: a relaxed structure of FeNiRuW (GGA-PBE).

Formation energy from the elements = 134 meV/atom
M_tot = 1.9 μB per cell

a b c (Å): 4.214 4.214 4.214
angles (deg): 60.00 60.00 60.00
Site moments in Bohr magnetons follow the coordinates.
Positions (direct):
Ru  0.250  0.250  0.250  0.13
Fe  0.750  0.750  0.750  1.73
W  0.500  0.500  0.500  -0.27
Ni  0.000  0.000  0.000  0.42

---

# 2
Entry from Alexandria via LeMat-Bulk: a relaxed structure of Fe3NiS (GGA-PBE).

M_tot = 7.6 μB per cell
Formation energy (no corrections) = 0.393 eV per atom

a b c (Å): 4.112 4.112 4.112
angles (deg): 90.00 90.00 90.00
Site moments in Bohr magnetons follow the coordinates.
Positions (direct):
Ni  0.500  0.500  0.500  0.90
S  0.000  0.000  0.000  0.01
Fe  0.000  0.500  0.000  2.23
Fe  0.000  0.000  0.500  2.21
Fe  0.500  0.000  0.000  2.46